No. 1
CsU4Te12Pd3 (PBE, optimized geometry); formation energy from raw total energies = -8.14 eV/f.u.; VASP energy = -107.43 eV per cell
1.0
9.587 0.000 0.000
-3.196 9.039 0.000
-3.196 -4.519 7.828
U Te Pd Cs
4 12 3 1
Direct
0.000 0.000 0.500
0.500 0.500 0.500
0.000 0.500 0.000
0.500 0.000 0.000
0.323 0.165 0.488
0.835 0.158 0.323
0.842 0.677 0.165
0.323 0.835 0.158
0.677 0.835 0.512
0.158 0.323 0.835
0.165 0.488 0.323
0.512 0.677 0.835
0.677 0.165 0.842
0.488 0.323 0.165
0.165 0.842 0.677
0.835 0.512 0.677
0.000 0.500 0.500
0.500 0.500 0.000
0.500 0.000 0.500
0.000 0.000 0.000

=====

No. 2
Ce2TaGe4Ir3 (PBE, optimized geometry); ΔH_f (0 K) = -6.7 eV/f.u.; VASP energy = -75.47 eV per cell
1.0
-0.106 3.591 2.164
1.145 -2.058 3.470
10.375 1.746 -2.389
Ge Ce Ta Ir
4 2 1 3
Direct
0.500 0.500 0.000
0.000 0.500 0.354
0.000 0.000 0.000
0.500 0.000 0.646
0.500 0.000 0.237
0.000 0.500 0.763
0.500 0.500 0.500
0.500 0.000 0.874
0.000 0.500 0.126
0.000 0.000 0.500